{
  "formula": "Fe2CuBr",
  "functional": "PBE-GGA",
  "state": "relaxed",
  "lattice_angstrom": [[-1.466, 1.161, -2.562], [-0.594, -2.952, -0.997], [-5.354, 0.038, 3.081]],
  "species": ["Fe", "Fe", "Br", "Cu"],
  "fractional_positions": [[0.500, 0.500, 0.201], [0.000, 0.000, 0.015], [0.000, 0.000, 0.483], [0.500, 0.500, 0.801]],
  "sg": "P4mm, No. 99",
  "raw_formation_energy_ev_per_atom": 0.39,
  "de_polymorph_ev_per_atom": 0.050,
  "density_g_cm3": 6.8,
  "dos_at_fermi_per_ev_cell": 2.4
}

***

{
  "formula": "Y2Co2Ag",
  "functional": "PBE-GGA",
  "state": "relaxed",
  "lattice_angstrom": [[5.217, 0.000, 0.000], [0.000, 5.217, 0.000], [2.608, 2.608, 3.799]],
  "species": ["Y", "Y", "Ag", "Co", "Co"],
  "fractional_positions": [[0.750, 0.250, 0.500], [0.250, 0.750, 0.500], [0.000, 0.000, 0.000], [0.353, 0.353, 0.294], [0.647, 0.647, 0.706]],
  "sg": "I4/mmm, No. 139",
  "ef_mev_per_atom": 87.2,
  "de_polymorph_ev_per_atom": 0.317,
  "density_g_cm3": 6.5,
  "dos_at_fermi_per_ev_cell": 6.9
}

***

What did the second record say?
{
  "formula": "Y2Co2Ag",
  "functional": "PBE-GGA",
  "state": "relaxed",
  "lattice_angstrom": [[5.217, 0.000, 0.000], [0.000, 5.217, 0.000], [2.608, 2.608, 3.799]],
  "species": ["Y", "Y", "Ag", "Co", "Co"],
  "fractional_positions": [[0.750, 0.250, 0.500], [0.250, 0.750, 0.500], [0.000, 0.000, 0.000], [0.353, 0.353, 0.294], [0.647, 0.647, 0.706]],
  "sg": "I4/mmm, No. 139",
  "ef_mev_per_atom": 87.2,
  "de_polymorph_ev_per_atom": 0.317,
  "density_g_cm3": 6.5,
  "dos_at_fermi_per_ev_cell": 6.9
}